Record 1
Compound: HfZrRh2
Source: the Alexandria database
Functional: PBE
Structure: relaxed

```
HfZrRh2
1.0
3.2785 0.0000 0.0000
0.0000 3.2785 0.0000
0.0000 0.0000 6.5874
Hf Zr Rh
1 1 2
direct
0.0000 0.0000 0.0000 Hf
0.0000 0.0000 0.5000 Zr
0.5000 0.5000 0.2408 Rh
0.5000 0.5000 0.7592 Rh
```

Calculated values
For the density of states at the Fermi level, the calculation gives 2.075 states/eV/cell. Its calculated volume is 17.70 A^3/atom. The space-group type is No. 123. The energy of formation is -824 meV/atom. The magnetization comes out at 0.00 μB/atom. As for the electronic total energy: -9.125 eV/atom.



Record 2
Compound: Hf3ZrRh2
Source: the Alexandria database
Functional: PBE
Structure: relaxed

```
Hf3ZrRh2
1.0
3.2987 0.0000 0.0000
0.0000 3.2987 0.0000
0.0000 0.0000 10.5410
Hf Zr Rh
3 1 2
direct
0.0000 0.0000 0.0000 Hf
0.0000 0.0000 0.3041 Hf
0.0000 0.0000 0.6959 Hf
0.5000 0.5000 0.5000 Zr
0.5000 0.5000 0.1482 Rh
0.5000 0.5000 0.8518 Rh
```

Calculated values
For the density of states at the Fermi level, the calculation gives 4.675 states/eV/cell. Its calculated volume is 19.12 A^3/atom. The space-group type is No. 123. The energy of formation is -609 meV/atom. The magnetization comes out at 0.00 μB/atom. As for the electronic total energy: -9.461 eV/atom. Its excess energy over the best structure of this formula in the dataset is 0 meV/atom.



Record 3
Compound: Hf4ZrRh5
Source: the Alexandria database
Functional: PBE
Structure: relaxed

```
Hf4ZrRh5
1.0
3.2723 0.0000 0.0000
0.0000 3.2723 0.0000
0.0000 0.0000 16.4142
Hf Zr Rh
4 1 5
direct
0.0000 0.0000 0.0992 Hf
0.0000 0.0000 0.2988 Hf
0.0000 0.0000 0.7012 Hf
0.0000 0.0000 0.9008 Hf
0.0000 0.0000 0.5000 Zr
0.5000 0.5000 0.0000 Rh
0.5000 0.5000 0.1960 Rh
0.5000 0.5000 0.3913 Rh
0.5000 0.5000 0.6087 Rh
0.5000 0.5000 0.8040 Rh
```

Calculated values
For the density of states at the Fermi level, the calculation gives 6.636 states/eV/cell. Its calculated volume is 17.58 A^3/atom. The space-group type is No. 123. The energy of formation is -854 meV/atom. The magnetization comes out at 0.00 μB/atom. As for the electronic total energy: -9.366 eV/atom.



Record 4
Compound: HfZrRh5
Source: the Alexandria database
Functional: PBE
Structure: relaxed

```
HfZrRh5
1.0
4.0287 0.0000 0.0000
0.0000 4.0287 0.0000
0.0000 0.0000 7.3613
Hf Zr Rh
1 1 5
direct
0.0000 0.0000 0.0000 Hf
0.5000 0.5000 0.5000 Zr
0.0000 0.0000 0.5000 Rh
0.0000 0.5000 0.2357 Rh
0.0000 0.5000 0.7643 Rh
0.5000 0.0000 0.2357 Rh
0.5000 0.0000 0.7643 Rh
```

Calculated values
For the density of states at the Fermi level, the calculation gives 7.389 states/eV/cell. Its calculated volume is 17.07 A^3/atom. The space-group type is No. 123. The energy of formation is -436 meV/atom. The magnetization comes out at 0.00 μB/atom. As for the electronic total energy: -8.331 eV/atom.



Record 5
Compound: Hf3Ru
Source: the Alexandria database
Functional: PBE
Structure: relaxed

```
Hf3Ru
1.0
3.1276 0.0000 0.0000
0.0000 3.2072 0.0000
0.0000 0.0000 8.6252
Hf Ru
3 1
direct
0.0000 0.0000 0.0000 Hf
0.0000 0.5000 0.3365 Hf
0.5000 0.5000 0.7528 Hf
0.5000 0.0000 0.5024 Ru
```

Calculated values
For the density of states at the Fermi level, the calculation gives 3.042 states/eV/cell. Its calculated volume is 21.63 A^3/atom. The space-group type is No. 25. The energy of formation is 19 meV/atom. The magnetization comes out at 0.00 μB/atom. As for the electronic total energy: -9.765 eV/atom.



Record 6
Compound: HfRu4
Source: the Alexandria database
Functional: PBE
Structure: relaxed

```
HfRu4
1.0
4.6807 0.0000 0.0000
0.0000 4.6807 0.0000
0.0000 0.0000 4.6807
Hf Ru
1 4
direct
0.0000 0.0000 0.0000 Hf
0.0000 0.0000 0.5000 Ru
0.0000 0.5000 0.0000 Ru
0.5000 0.0000 0.0000 Ru
0.5000 0.5000 0.5000 Ru
```

Calculated values
For the density of states at the Fermi level, the calculation gives 9.047 states/eV/cell. Its calculated volume is 20.51 A^3/atom. The space-group type is No. 221. The energy of formation is 1913 meV/atom. The magnetization comes out at 1.06 μB/atom. As for the electronic total energy: -7.498 eV/atom.



Record 7
Compound: Hf3Ru
Source: the Alexandria database
Functional: PBE
Structure: relaxed

```
Hf3Ru
1.0
3.2891 0.0000 0.0000
0.0000 4.8594 0.0000
0.0000 0.0000 9.7990
Hf Ru
6 2
direct
0.0000 0.0000 0.0000 Hf
0.0000 0.5000 0.2222 Hf
0.0000 0.5000 0.7778 Hf
0.5000 0.0000 0.2778 Hf
0.5000 0.0000 0.7222 Hf
0.5000 0.5000 0.5000 Hf
0.0000 0.0000 0.5000 Ru
0.5000 0.5000 0.0000 Ru
```

Calculated values
For the density of states at the Fermi level, the calculation gives 7.044 states/eV/cell. Its calculated volume is 19.58 A^3/atom. The space-group type is No. 71. The energy of formation is -356 meV/atom. The magnetization comes out at 0.00 μB/atom. As for the electronic total energy: -10.140 eV/atom.



Record 8
Compound: Hf2Ru
Source: the Alexandria database
Functional: PBE
Structure: relaxed

```
Hf2Ru
1.0
3.2412 0.0000 0.0000
0.0000 3.2412 0.0000
0.0000 0.0000 10.7009
Hf Ru
4 2
direct
0.0000 0.0000 0.0000 Hf
0.0000 0.0000 0.3032 Hf
0.0000 0.0000 0.6968 Hf
0.5000 0.5000 0.5000 Hf
0.5000 0.5000 0.1511 Ru
0.5000 0.5000 0.8489 Ru
```

Calculated values
For the density of states at the Fermi level, the calculation gives 3.657 states/eV/cell. Its calculated volume is 18.74 A^3/atom. The space-group type is No. 123. The energy of formation is -516 meV/atom. The magnetization comes out at 0.00 μB/atom. As for the electronic total energy: -10.244 eV/atom.



Record 9
Compound: Hf5Ru3
Source: the Alexandria database
Functional: PBE
Structure: relaxed

```
Hf5Ru3
1.0
3.2493 0.0000 0.0000
0.0000 3.2493 0.0000
0.0000 0.0000 13.7773
Hf Ru
5 3
direct
0.0000 0.0000 0.0000 Hf
0.0000 0.0000 0.2349 Hf
0.0000 0.0000 0.7651 Hf
0.5000 0.5000 0.3828 Hf
0.5000 0.5000 0.6172 Hf
0.0000 0.0000 0.5000 Ru
0.5000 0.5000 0.1170 Ru
0.5000 0.5000 0.8830 Ru
```

Calculated values
For the density of states at the Fermi level, the calculation gives 6.293 states/eV/cell. Its calculated volume is 18.18 A^3/atom. The space-group type is No. 123. The energy of formation is -580 meV/atom. The magnetization comes out at 0.00 μB/atom. As for the electronic total energy: -10.279 eV/atom.



Record 10
Compound: HfRu2S
Source: the Alexandria database
Functional: PBE
Structure: relaxed

```
HfRu2S
1.0
5.7657 0.0000 0.0000
0.0000 5.7657 0.0000
0.0000 0.0000 9.9055
Hf Ru S
4 8 4
direct
0.0000 0.0000 0.0000 Hf
0.0000 0.5000 0.2500 Hf
0.5000 0.0000 0.7500 Hf
0.5000 0.5000 0.5000 Hf
0.1912 0.2500 0.6250 Ru
0.2500 0.6912 0.8750 Ru
0.2500 0.8088 0.3750 Ru
0.3088 0.2500 0.1250 Ru
0.6912 0.7500 0.1250 Ru
0.7500 0.1912 0.3750 Ru
0.7500 0.3088 0.8750 Ru
0.8088 0.7500 0.6250 Ru
0.0000 0.0000 0.5000 S
0.0000 0.5000 0.7500 S
0.5000 0.0000 0.2500 S
0.5000 0.5000 0.0000 S
```

Calculated values
For the density of states at the Fermi level, the calculation gives 0.590 states/eV/cell. Its calculated volume is 20.58 A^3/atom. The energy relative to the elements, uncorrected comes out at 161 meV/atom. The space-group type is No. 122. The magnetization comes out at 0.00 μB/atom. As for the electronic total energy: -7.997 eV/atom.